[1]
First-principles (PBE-GGA) data for an optimized crystal structure of Ca2TlPt2, as listed in Alexandria via LeMat-Bulk.

Results
Formation enthalpy at 0 K: -3.089 eV/f.u.
Electronic total energy: -4.3080 eV/atom

abc: 5.6095 5.6095 5.6699
angles: 60.35 60.35 90.00
With the nearest neighbours (Å) after each atom.
Fractional positions:
Tl  0.0000  0.0000  0.0000  2 Pt 2.76
Pt  0.3401  0.3401  0.3198  1 Pt 2.59, 1 Tl 2.76, 4 Ca 2.90
Pt  0.6599  0.6599  0.6802  1 Pt 2.59, 1 Tl 2.76, 4 Ca 2.90
Ca  0.2500  0.7500  0.5000  4 Pt 2.90
Ca  0.7500  0.2500  0.5000  4 Pt 2.90

***

[2]
First-principles (PBE-GGA) data for an optimized crystal structure of Ca2Tl2Pt, as listed in Alexandria via LeMat-Bulk.

Results
Polymorph energy (0 for the lowest one): 0.0 meV/atom
Formation enthalpy at 0 K: -1.731 eV/f.u.
Electronic total energy: -3.3015 eV/atom

abc: 7.4724 7.4724 4.7619
angles: 90.00 90.00 90.00
With the nearest neighbours (Å) after each atom.
Fractional positions:
Pt  0.5000  0.5000  0.0000  4 Tl 2.88
Pt  0.0000  0.0000  0.0000  4 Tl 2.88
Ca  0.8280  0.3280  0.5000  6 Tl 3.09-3.35
Ca  0.3280  0.1720  0.5000  6 Tl 3.09-3.35
Ca  0.1720  0.6720  0.5000  6 Tl 3.09-3.35
Ca  0.6720  0.8280  0.5000  6 Tl 3.09-3.35
Tl  0.1416  0.3584  0.0000  2 Pt 2.88, 1 Tl 2.99, 2 Ca 3.09
Tl  0.3584  0.8584  0.0000  2 Pt 2.88, 1 Tl 2.99, 2 Ca 3.09
Tl  0.6416  0.1416  0.0000  2 Pt 2.88, 1 Tl 2.99, 2 Ca 3.09
Tl  0.8584  0.6416  0.0000  2 Pt 2.88, 1 Tl 2.99, 2 Ca 3.09

***

[3]
First-principles (PBE-GGA) data for an optimized crystal structure of CaTlPt2, as listed in Alexandria via LeMat-Bulk.

Results
Formation enthalpy at 0 K: -2.033 eV/f.u.
Electronic total energy: -4.6205 eV/atom

abc: 4.2743 3.9190 5.5578
angles: 69.16 90.00 90.00
With the nearest neighbours (Å) after each atom.
Fractional positions:
Pt  0.5000  0.0483  0.2788  2 Pt 2.70, 1 Ca 2.89, 4 Tl 3.00
Pt  0.0000  0.2066  0.9612  2 Pt 2.70, 1 Tl 2.78, 4 Ca 2.97
Tl  0.0000  0.4741  0.4255  7 Pt 2.78-3.11
Ca  0.5000  0.7710  0.8346  7 Pt 2.89-3.03

***

[4]
First-principles (PBE-GGA) data for an optimized crystal structure of CaTlPt2, as listed in Alexandria via LeMat-Bulk.

Results
Formation enthalpy at 0 K: -1.817 eV/f.u.
Electronic total energy: -4.5666 eV/atom

abc: 5.4101 5.4101 5.4101
angles: 134.64 134.64 66.09
With the nearest neighbours (Å) after each atom.
Fractional positions:
Ca  0.7500  0.2500  0.5000  8 Pt 2.95-3.08, 4 Tl 3.08
Pt  0.2500  0.7500  0.5000  4 Ca 2.95, 4 Pt 3.08, 4 Tl 3.08
Pt  0.0000  0.0000  0.0000  4 Tl 2.95, 4 Pt 3.08, 4 Ca 3.08
Tl  0.5000  0.5000  0.0000  8 Pt 2.95-3.08, 4 Ca 3.08

***

[5]
First-principles (PBE-GGA) data for an optimized crystal structure of Ca8Tl2Pt, as listed in Alexandria via LeMat-Bulk.

Results
Polymorph energy (0 for the lowest one): 0.0 meV/atom
Formation enthalpy at 0 K: -4.333 eV/f.u.
Electronic total energy: -2.8290 eV/atom

abc: 5.4382 7.2247 9.7648
angles: 107.62 106.17 90.00
With the nearest neighbours (Å) after each atom.
Fractional positions:
Ca  0.9771  0.2057  0.9542  2 Pt 3.19, 1 Tl 3.21, 5 Ca 3.34-3.57
Ca  0.6506  0.9535  0.3012  1 Pt 2.95
Ca  0.4066  0.5789  0.8132  1 Pt 2.99
Ca  0.3494  0.0465  0.6988  1 Pt 2.95
Ca  0.5934  0.4211  0.1868  1 Pt 2.99
Ca  0.0229  0.7943  0.0458  2 Pt 3.19, 1 Tl 3.21, 5 Ca 3.34-3.57
Ca  0.2079  0.2946  0.4158  3 Tl 3.20-3.43
Ca  0.7921  0.7054  0.5842  3 Tl 3.20-3.43
Tl  0.8186  0.2886  0.6372  9 Ca 3.20-3.51
Tl  0.1814  0.7114  0.3628  9 Ca 3.20-3.51
Pt  0.5000  0.0000  0.0000  8 Ca 2.95-3.19

***

[6]
First-principles (PBE-GGA) data for an optimized crystal structure of CaTlPt, as listed in Alexandria via LeMat-Bulk.

Results
Formation enthalpy at 0 K: -1.483 eV/f.u.
Electronic total energy: -3.9640 eV/atom

abc: 5.6741 5.6735 3.6887
angles: 71.04 71.02 37.94
With the nearest neighbours (Å) after each atom.
Fractional positions:
Ca  0.9896  0.9896  0.0104  5 Tl 3.07-3.27, 5 Pt 3.09-3.38
Pt  0.3255  0.3255  0.6745  4 Tl 2.97, 4 Ca 3.09
Tl  0.6849  0.6849  0.3151  4 Pt 2.97, 5 Ca 3.07-3.27

***

Q: What is the formula in the fifth record?
A: Ca8Tl2Pt

***

Q: Look up the formation enthalpy at 0 K of the fifth one.
A: -4.333 eV/f.u.